! LaNd3Dy6Ho2, relaxed, DFT PBE; values from VASP
&SYSTEM
  ibrav = 0, nat = 12, ntyp = 4
/
ATOMIC_SPECIES
Nd 144.24 Nd.upf
Dy 162.50 Dy.upf
Ho 164.93 Ho.upf
La 138.91 La.upf
ATOMIC_POSITIONS crystal
Nd 0.5000 0.5000 0.5000
Nd 0.1670 0.8330 0.5000
Nd 0.8330 0.1670 0.5000
Dy 0.4180 0.0834 0.2485
Dy 0.9166 0.5820 0.7515
Dy 0.2514 0.2514 0.7513
Dy 0.7486 0.7486 0.2487
Dy 0.5820 0.9166 0.7515
Dy 0.0834 0.4180 0.2485
Ho 0.3333 0.6667 0.0000
Ho 0.6667 0.3333 0.0000
La 0.0000 0.0000 0.0000
CELL_PARAMETERS angstrom
6.2263 -0.0001 0.0163
-3.1117 5.3930 0.0163
-1.0657 -1.8452 11.6896
! electronic total energy = -4.65 eV per atom
! size of the total moment = 0.001 μB per formula unit
! energy relative to the elements = 0.018 eV per atom
! space-group type = C2/m, No. 12